(1)
VASP calculation (PBE) on a relaxed structure of TaPb2Au.

abc: 5.1197 5.1197 5.1197
angles: 60.00 60.00 60.00
Closest atoms and distances in Å follow each position.
Positions (direct):
Ta1 0.0000 0.0000 0.0000  4 Pb 3.14, 4 Au 3.14
Pb1 0.2500 0.2500 0.2500  4 Ta 3.14, 4 Pb 3.14
Pb2 0.5000 0.5000 0.5000  4 Pb 3.14, 4 Au 3.14
Au1 0.7500 0.7500 0.7500  4 Ta 3.14, 4 Pb 3.14

Output
Space group: F-43m (216)
Size of the total moment: 1.48 μB per cell
Energy above the most stable polymorph in this dataset: 538.5 meV per atom
Crystal system: cubic
Formation enthalpy at 0 K: 697.9 meV/atom



(2)
VASP calculation (PBE) on a relaxed structure of LiPaPt2O6.

abc: 5.2021 5.2948 11.0235
angles: 90.00 111.51 90.00
Closest atoms and distances in Å follow each position.
Positions (direct):
Li1 0.0000 0.0000 0.0000  2 O 1.99
Li2 0.0000 0.5000 0.5000  2 O 1.99
Pa1 0.5000 0.0000 0.5000  4 O 2.10-2.13
Pa2 0.5000 0.5000 0.0000  4 O 2.10-2.13
Pt1 0.1511 0.0644 0.6843  4 O 1.96-2.02
Pt2 0.1511 0.4356 0.1843  4 O 1.96-2.02
Pt3 0.8489 0.5644 0.8157  4 O 1.96-2.02
Pt4 0.8489 0.9356 0.3157  4 O 1.96-2.02
O1 0.1404 0.1578 0.3005  2 Pt 1.96-1.97
O2 0.1404 0.3422 0.8005  2 Pt 1.96-1.97
O3 0.2418 0.7043 0.0775  1 Li 1.99, 1 Pt 2.01, 1 Pa 2.13
O4 0.2418 0.7957 0.5775  1 Li 1.99, 1 Pt 2.01, 1 Pa 2.13
O5 0.3806 0.2289 0.1075  1 Pt 2.02, 1 Pa 2.10, 1 Li 2.25
O6 0.3806 0.2711 0.6075  1 Pt 2.02, 1 Pa 2.10, 1 Li 2.25
O7 0.6194 0.7289 0.3925  1 Pt 2.02, 1 Pa 2.10, 1 Li 2.25
O8 0.6194 0.7711 0.8925  1 Pt 2.02, 1 Pa 2.10, 1 Li 2.25
O9 0.7582 0.2043 0.4225  1 Li 1.99, 1 Pt 2.01, 1 Pa 2.13
O10 0.7582 0.2957 0.9225  1 Li 1.99, 1 Pt 2.01, 1 Pa 2.13
O11 0.8596 0.6578 0.1995  2 Pt 1.96-1.97
O12 0.8596 0.8422 0.6995  2 Pt 1.96-1.97

Output
Formation energy from raw total energies: -15.79 eV per formula unit
Space group: P2_1/c (14)
Size of the total moment: 0.00 μB per cell
Crystal system: monoclinic



(3)
VASP calculation (PBE) on a relaxed structure of Pm6Ga2Pd.

abc: 8.7677 8.7677 8.7677
angles: 147.04 131.05 60.28
Closest atoms and distances in Å follow each position.
Positions (direct):
Pm1 0.0816 0.8359 0.2457  1 Pd 3.06, 3 Ga 3.10-3.13
Pm2 0.2471 0.5000 0.7471  2 Pd 3.07, 2 Ga 3.12
Pm3 0.4098 0.1641 0.2457  1 Pd 3.06, 3 Ga 3.10-3.13
Pm4 0.5902 0.8359 0.7543  1 Pd 3.06, 3 Ga 3.10-3.13
Pm5 0.7529 0.5000 0.2529  2 Pd 3.07, 2 Ga 3.12
Pm6 0.9184 0.1641 0.7543  1 Pd 3.06, 3 Ga 3.10-3.13
Ga1 0.3333 0.3333 0.0000  8 Pm 3.10-3.13
Ga2 0.6667 0.6667 0.0000  8 Pm 3.10-3.13
Pd1 0.0000 0.0000 0.0000  8 Pm 3.06-3.07

Output
Space group: Immm (71)
Size of the total moment: 0.00 μB per cell
Energy above the most stable polymorph in this dataset: 114.0 meV per atom
Crystal system: orthorhombic
Formation enthalpy at 0 K: -289.3 meV/atom



(4)
VASP calculation (PBE) on a relaxed structure of AlCdPb2.

abc: 3.4685 4.3002 7.1208
angles: 90.00 90.00 90.00
Closest atoms and distances in Å follow each position.
Positions (direct):
Al1 0.0000 0.0000 0.0000  8 Pb 3.25, 2 Al 3.47, 2 Cd 3.56
Cd1 0.0000 0.0000 0.5000  8 Pb 3.33, 2 Cd 3.47, 2 Al 3.56
Pb1 0.5000 0.5000 0.2392  4 Al 3.25, 4 Cd 3.33, 3 Pb 3.41-3.47
Pb2 0.5000 0.5000 0.7608  4 Al 3.25, 4 Cd 3.33, 3 Pb 3.41-3.47

Output
Space group: Pmmm (47)
Size of the total moment: 0.00 μB per cell
Crystal system: orthorhombic
Formation enthalpy at 0 K: 165.2 meV/atom



(5)
VASP calculation (PBE) on a relaxed structure of CsRbPbCl6.

abc: 7.9137 7.9137 7.0442
angles: 90.00 90.00 120.00
Closest atoms and distances in Å follow each position.
Positions (direct):
Cs1 0.0000 0.0000 0.0000  6 Cl 3.58
Rb1 0.3333 0.6667 0.5000  6 Cl 3.29
Pb1 0.6667 0.3333 0.5000  6 Cl 2.58
Cl1 0.4013 0.0666 0.7121  1 Pb 2.58
Cl2 0.4013 0.3348 0.2879  1 Pb 2.58
Cl3 0.6652 0.0666 0.2879  1 Pb 2.58
Cl4 0.6652 0.5987 0.7121  1 Pb 2.58
Cl5 0.9334 0.3348 0.7121  1 Pb 2.58
Cl6 0.9334 0.5987 0.2879  1 Pb 2.58

Output
Formation energy from raw total energies: -11.49 eV per formula unit
Space group: P312 (149)
Size of the total moment: 0.00 μB per cell
Crystal system: trigonal



(6)
VASP calculation (PBE) on a relaxed structure of Pr3GaSn2Pd9.

abc: 6.8014 6.8014 9.0020
angles: 90.00 90.00 120.00
Closest atoms and distances in Å follow each position.
Positions (direct):
Pr1 0.0000 0.0000 0.0000  6 Pd 2.99
Pr2 0.3333 0.6667 0.7316  9 Pd 3.11-3.43
Pr3 0.6667 0.3333 0.2684  9 Pd 3.11-3.43
Ga1 0.0000 0.0000 0.5000  6 Pd 2.49
Sn1 0.3333 0.6667 0.1997  6 Pd 2.50-2.66
Sn2 0.6667 0.3333 0.8003  6 Pd 2.50-2.66
Pd1 0.0000 0.5000 0.0000  2 Sn 2.66
Pd2 0.1316 0.2631 0.2841  1 Ga 2.49, 1 Sn 2.50, 2 Pd 2.68
Pd3 0.1316 0.8684 0.2841  1 Ga 2.49, 1 Sn 2.50, 2 Pd 2.68
Pd4 0.2631 0.1316 0.7159  1 Ga 2.49, 1 Sn 2.50, 2 Pd 2.68
Pd5 0.5000 0.0000 0.0000  2 Sn 2.66
Pd6 0.5000 0.5000 0.0000  2 Sn 2.66
Pd7 0.7369 0.8684 0.2841  1 Ga 2.49, 1 Sn 2.50, 2 Pd 2.68
Pd8 0.8684 0.1316 0.7159  1 Ga 2.49, 1 Sn 2.50, 2 Pd 2.68
Pd9 0.8684 0.7369 0.7159  1 Ga 2.49, 1 Sn 2.50, 2 Pd 2.68

Output
Space group: P-3m1 (164)
Size of the total moment: 0.00 μB per cell
Crystal system: trigonal
Formation enthalpy at 0 K: -458.9 meV/atom



(7)
VASP calculation (PBE) on a relaxed structure of ScCd7Ag4.

abc: 6.4512 6.4512 10.2373
angles: 119.76 119.76 48.41
Closest atoms and distances in Å follow each position.
Positions (direct):
Sc1 0.0000 0.0000 0.0000  2 Cd 2.64
Cd1 0.0633 0.0633 0.3584  4 Cd 2.86-3.20, 3 Ag 2.88-3.02
Cd2 0.2130 0.2130 0.8991  4 Ag 2.86-3.00, 4 Cd 2.86-3.17, 1 Sc 3.19
Cd3 0.3474 0.3474 0.4318  5 Ag 2.77-3.07, 2 Cd 3.00-3.07
Cd4 0.5000 0.5000 0.0000  2 Sc 2.64, 4 Ag 2.84-2.85, 2 Cd 2.95
Cd5 0.6526 0.6526 0.5682  5 Ag 2.77-3.07, 2 Cd 3.00-3.07
Cd6 0.7870 0.7870 0.1009  4 Ag 2.86-3.00, 4 Cd 2.86-3.17, 1 Sc 3.19
Cd7 0.9367 0.9367 0.6416  4 Cd 2.86-3.20, 3 Ag 2.88-3.02
Ag1 0.2904 0.2904 0.6771  6 Cd 2.85-2.98, 1 Ag 2.91
Ag2 0.4257 0.4257 0.2214  8 Cd 2.77-3.07, 1 Ag 2.91
Ag3 0.5743 0.5743 0.7786  8 Cd 2.77-3.07, 1 Ag 2.91
Ag4 0.7096 0.7096 0.3229  6 Cd 2.85-2.98, 1 Ag 2.91

Output
Space group: C2/m (12)
Size of the total moment: 0.00 μB per cell
Crystal system: monoclinic
Formation enthalpy at 0 K: 99.1 meV/atom



(8)
VASP calculation (PBE) on a relaxed structure of AcCeZnCd.

abc: 5.4900 5.4900 5.4900
angles: 60.00 60.00 60.00
Closest atoms and distances in Å follow each position.
Positions (direct):
Ac1 0.0000 0.0000 0.0000  4 Cd 3.36, 4 Zn 3.36
Ce1 0.5000 0.5000 0.5000  4 Zn 3.36, 4 Cd 3.36
Zn1 0.7500 0.7500 0.7500  4 Ce 3.36, 4 Ac 3.36
Cd1 0.2500 0.2500 0.2500  4 Ce 3.36, 4 Ac 3.36

Output
Space group: F-43m (216)
Size of the total moment: 1.68 μB per cell
Crystal system: cubic
Formation enthalpy at 0 K: -151.3 meV/atom



(9)
VASP calculation (PBE) on a relaxed structure of Ce2MgSi3Pt4.

abc: 4.2405 4.2405 10.2515
angles: 90.00 90.00 90.00
Closest atoms and distances in Å follow each position.
Positions (direct):
Ce1 0.0000 0.5000 0.2456  8 Pt 3.22-3.29, 6 Si 3.24-3.36, 2 Mg 3.36
Ce2 0.5000 0.0000 0.7544  8 Pt 3.22-3.29, 6 Si 3.24-3.36, 2 Mg 3.36
Mg1 0.0000 0.0000 0.5000  4 Pt 2.56
Si1 0.0000 0.5000 0.8738  5 Pt 2.39-2.48
Si2 0.5000 0.0000 0.1262  5 Pt 2.39-2.48
Si3 0.5000 0.5000 0.5000  4 Pt 2.56
Pt1 0.0000 0.0000 0.0000  4 Si 2.48
Pt2 0.0000 0.5000 0.6405  3 Si 2.39-2.56, 2 Mg 2.56
Pt3 0.5000 0.0000 0.3595  3 Si 2.39-2.56, 2 Mg 2.56
Pt4 0.5000 0.5000 0.0000  4 Si 2.48

Output
Formation energy from raw total energies: -10.27 eV per formula unit
Space group: P-4m2 (115)
Size of the total moment: 1.14 μB per cell
Crystal system: tetragonal



(10)
VASP calculation (PBE) on a relaxed structure of Pu2BiS6.

abc: 6.3120 6.3120 12.2365
angles: 90.00 90.00 90.00
Closest atoms and distances in Å follow each position.
Positions (direct):
Pu1 0.0000 0.0000 0.1678  6 S 2.62-2.67
Pu2 0.0000 0.0000 0.8322  6 S 2.62-2.67
Pu3 0.5000 0.5000 0.3322  6 S 2.62-2.67
Pu4 0.5000 0.5000 0.6678  6 S 2.62-2.67
Bi1 0.0000 0.0000 0.5000  6 S 2.80-2.81
Bi2 0.5000 0.5000 0.0000  6 S 2.80-2.81
S1 0.1851 0.1851 0.0000  2 Pu 2.64, 1 Bi 2.81
S2 0.2010 0.2010 0.3244  2 Pu 2.62-2.67, 1 Bi 2.80
S3 0.2010 0.2010 0.6756  2 Pu 2.62-2.67, 1 Bi 2.80
S4 0.2990 0.7010 0.1756  2 Pu 2.62-2.67, 1 Bi 2.80
S5 0.2990 0.7010 0.8244  2 Pu 2.62-2.67, 1 Bi 2.80
S6 0.3149 0.6851 0.5000  2 Pu 2.64, 1 Bi 2.81
S7 0.6851 0.3149 0.5000  2 Pu 2.64, 1 Bi 2.81
S8 0.7010 0.2990 0.1756  2 Pu 2.62-2.67, 1 Bi 2.80
S9 0.7010 0.2990 0.8244  2 Pu 2.62-2.67, 1 Bi 2.80
S10 0.7990 0.7990 0.3244  2 Pu 2.62-2.67, 1 Bi 2.80
S11 0.7990 0.7990 0.6756  2 Pu 2.62-2.67, 1 Bi 2.80
S12 0.8149 0.8149 0.0000  2 Pu 2.64, 1 Bi 2.81

Output
Formation energy from raw total energies: -8.18 eV per formula unit
Space group: P4_2/mnm (136)
Size of the total moment: 14.00 μB per cell
Crystal system: tetragonal



(11)
VASP calculation (PBE) on a relaxed structure of Ac3Pr13.

abc: 10.6789 7.5177 7.5177
angles: 89.78 90.00 90.00
Closest atoms and distances in Å follow each position.
Positions (direct):
Ac1 0.0000 0.0000 0.0000  10 Pr 3.72-3.80, 2 Ac 3.85
Ac2 0.2536 0.2568 0.2568  11 Pr 3.73-3.81, 1 Ac 3.85
Ac3 0.7464 0.2568 0.2568  11 Pr 3.73-3.81, 1 Ac 3.85
Pr1 0.0000 0.0018 0.5056  8 Pr 3.71-3.81, 4 Ac 3.72-3.81
Pr2 0.0000 0.5056 0.0018  8 Pr 3.71-3.81, 4 Ac 3.72-3.81
Pr3 0.0000 0.5083 0.5083  10 Pr 3.71-3.81, 2 Ac 3.81
Pr4 0.2525 0.2561 0.7536  9 Pr 3.73-3.80, 3 Ac 3.73-3.79
Pr5 0.2517 0.7525 0.7525  11 Pr 3.71-3.79, 1 Ac 3.77
Pr6 0.2525 0.7536 0.2561  9 Pr 3.73-3.80, 3 Ac 3.73-3.79
Pr7 0.5000 0.9998 0.5102  10 Pr 3.69-3.83, 2 Ac 3.78
Pr8 0.5000 0.0010 0.0010  10 Pr 3.69-3.83, 2 Ac 3.79
Pr9 0.5000 0.5095 0.5095  10 Pr 3.69-3.83, 2 Ac 3.76
Pr10 0.5000 0.5102 0.9998  10 Pr 3.69-3.83, 2 Ac 3.78
Pr11 0.7475 0.2561 0.7536  9 Pr 3.73-3.80, 3 Ac 3.73-3.79
Pr12 0.7483 0.7525 0.7525  11 Pr 3.71-3.79, 1 Ac 3.77
Pr13 0.7475 0.7536 0.2561  9 Pr 3.73-3.80, 3 Ac 3.73-3.79

Output
Space group: Amm2 (38)
Size of the total moment: 0.00 μB per cell
Energy above the most stable polymorph in this dataset: 0.0 meV per atom
Crystal system: orthorhombic
Formation enthalpy at 0 K: 18.2 meV/atom



(12)
VASP calculation (PBE) on a relaxed structure of DyScAu.

abc: 4.7399 4.7399 3.7388
angles: 90.00 90.00 120.00
Closest atoms and distances in Å follow each position.
Positions (direct):
Dy1 0.0000 0.0000 0.0000  3 Au 3.08, 6 Sc 3.27-3.36
Sc1 0.3333 0.6667 0.5213  3 Au 2.79
Au1 0.6667 0.3333 0.3767  3 Sc 2.79, 3 Dy 3.08

Output
Space group: P3m1 (156)
Size of the total moment: 0.00 μB per cell
Energy above the most stable polymorph in this dataset: 199.2 meV per atom
Crystal system: trigonal
Formation enthalpy at 0 K: -436.7 meV/atom



What did the third record say?
VASP calculation (PBE) on a relaxed structure of Pm6Ga2Pd.

abc: 8.7677 8.7677 8.7677
angles: 147.04 131.05 60.28
Closest atoms and distances in Å follow each position.
Positions (direct):
Pm1 0.0816 0.8359 0.2457  1 Pd 3.06, 3 Ga 3.10-3.13
Pm2 0.2471 0.5000 0.7471  2 Pd 3.07, 2 Ga 3.12
Pm3 0.4098 0.1641 0.2457  1 Pd 3.06, 3 Ga 3.10-3.13
Pm4 0.5902 0.8359 0.7543  1 Pd 3.06, 3 Ga 3.10-3.13
Pm5 0.7529 0.5000 0.2529  2 Pd 3.07, 2 Ga 3.12
Pm6 0.9184 0.1641 0.7543  1 Pd 3.06, 3 Ga 3.10-3.13
Ga1 0.3333 0.3333 0.0000  8 Pm 3.10-3.13
Ga2 0.6667 0.6667 0.0000  8 Pm 3.10-3.13
Pd1 0.0000 0.0000 0.0000  8 Pm 3.06-3.07

Output
Space group: Immm (71)
Size of the total moment: 0.00 μB per cell
Energy above the most stable polymorph in this dataset: 114.0 meV per atom
Crystal system: orthorhombic
Formation enthalpy at 0 K: -289.3 meV/atom